{
  "formula": "Th2UFe3Co12",
  "functional": "PBE",
  "state": "relaxed",
  "spacegroup": "R-3m (166)",
  "vol_a3_per_cell": 254.53,
  "energy_ev_per_atom": -7.5087,
  "e_form_ev_per_atom": 0.091,
  "dos_ef_per_ev_cell": 22.8,
  "lattice": [[4.2506, 2.4541, 4.0668], [-4.2506, 2.4541, 4.0668], [0.0000, -4.9081, 4.0668]],
  "species": ["Th", "Th", "U", "Fe", "Fe", "Fe", "Co", "Co", "Co", "Co", "Co", "Co", "Co", "Co", "Co", "Co", "Co", "Co"],
  "frac_coords": [[0.1557, 0.1557, 0.1557], [0.8443, 0.8443, 0.8443], [0.5000, 0.5000, 0.5000], [0.0000, 0.5000, 0.5000], [0.5000, 0.0000, 0.5000], [0.5000, 0.5000, 0.0000], [0.1107, 0.1107, 0.5918], [0.1107, 0.5918, 0.1107], [0.2188, 0.6964, 0.6964], [0.3036, 0.3036, 0.7812], [0.3036, 0.7812, 0.3036], [0.4082, 0.8893, 0.8893], [0.5918, 0.1107, 0.1107], [0.6964, 0.2188, 0.6964], [0.6964, 0.6964, 0.2188], [0.7812, 0.3036, 0.3036], [0.8893, 0.4082, 0.8893], [0.8893, 0.8893, 0.4082]]
}

{
  "formula": "CeTiCo4",
  "functional": "PBE",
  "state": "relaxed",
  "spacegroup": "F-43m (216)",
  "vol_a3_per_cell": 81.50,
  "energy_ev_per_atom": -7.2132,
  "e_form_ev_per_atom": -0.171,
  "dos_ef_per_ev_cell": 9.1,
  "lattice": [[0.0000, 3.4412, 3.4412], [3.4412, 0.0000, 3.4412], [3.4412, 3.4412, 0.0000]],
  "species": ["Ce", "Ti", "Co", "Co", "Co", "Co"],
  "frac_coords": [[0.0000, 0.0000, 0.0000], [0.7500, 0.7500, 0.7500], [0.3760, 0.3760, 0.3760], [0.3760, 0.3760, 0.8719], [0.3760, 0.8719, 0.3760], [0.8719, 0.3760, 0.3760]]
}

{
  "formula": "Nd2InGa3Ir4",
  "functional": "PBE",
  "state": "relaxed",
  "spacegroup": "P-4m2 (115)",
  "vol_a3_per_cell": 196.66,
  "energy_ev_per_atom": -6.3034,
  "e_form_ev_per_atom": -0.624,
  "dos_ef_per_ev_cell": 5.7,
  "lattice": [[4.2989, 0.0000, 0.0000], [0.0000, 4.2989, 0.0000], [0.0000, 0.0000, 10.6417]],
  "species": ["Nd", "Nd", "In", "Ga", "Ga", "Ga", "Ir", "Ir", "Ir", "Ir"],
  "frac_coords": [[0.0000, 0.5000, 0.2315], [0.5000, 0.0000, 0.7685], [0.0000, 0.0000, 0.5000], [0.0000, 0.5000, 0.8786], [0.5000, 0.0000, 0.1214], [0.5000, 0.5000, 0.5000], [0.0000, 0.0000, 0.0000], [0.0000, 0.5000, 0.6458], [0.5000, 0.0000, 0.3542], [0.5000, 0.5000, 0.0000]]
}